Entry from Alexandria via LeMat-Bulk: a geometry-optimized Tb12Er3Tl5 structure (PBE-GGA).

Output
DFT total energy in eV for the cell shown: -282.665
E_form in eV per atom: 0.521

Structure (POSCAR):
```
Tb12Er3Tl5
1.0
-11.444 -8.935 6.311
0.100 -1.881 -15.719
14.004 -4.398 5.930
Tb Er Tl
48 12 20
direct
0.444 0.778 0.873
0.666 0.222 0.595
0.722 0.595 0.166
0.095 0.929 0.373
0.127 0.405 0.071
0.429 0.056 0.334
0.166 0.095 0.722
0.056 0.429 0.834
0.278 0.873 0.944
0.556 0.334 0.929
0.056 0.627 0.722
0.095 0.166 0.222
0.595 0.873 0.429
0.929 0.095 0.873
0.778 0.334 0.905
0.222 0.556 0.627
0.571 0.627 0.405
0.405 0.127 0.571
0.222 0.666 0.095
0.905 0.834 0.778
0.071 0.166 0.444
0.944 0.373 0.278
0.444 0.666 0.071
0.722 0.127 0.056
0.278 0.405 0.834
0.627 0.056 0.222
0.127 0.722 0.556
0.873 0.595 0.929
0.595 0.722 0.666
0.166 0.071 0.944
0.373 0.944 0.778
0.405 0.278 0.334
0.944 0.571 0.166
0.778 0.444 0.373
0.666 0.444 0.571
0.834 0.929 0.056
0.627 0.571 0.905
0.556 0.222 0.127
0.373 0.429 0.095
0.334 0.556 0.429
0.929 0.834 0.556
0.334 0.778 0.405
0.873 0.278 0.444
0.905 0.071 0.627
0.071 0.905 0.127
0.571 0.944 0.666
0.834 0.905 0.278
0.429 0.373 0.595
0.250 0.625 0.875
0.625 0.375 0.750
0.250 0.125 0.375
0.125 0.250 0.875
0.875 0.750 0.125
0.875 0.125 0.250
0.750 0.875 0.625
0.625 0.250 0.375
0.750 0.375 0.125
0.375 0.750 0.625
0.375 0.625 0.250
0.125 0.875 0.750
0.375 0.125 0.750
0.875 0.625 0.750
0.500 0.500 0.500
0.625 0.750 0.875
0.375 0.250 0.125
0.250 0.875 0.125
0.000 0.000 0.500
0.875 0.250 0.625
0.125 0.750 0.375
0.000 0.500 0.500
0.125 0.375 0.250
0.500 0.000 0.000
0.750 0.625 0.375
0.500 0.500 0.000
0.500 0.000 0.500
0.000 0.000 0.000
0.625 0.875 0.250
0.250 0.375 0.625
0.750 0.125 0.875
0.000 0.500 0.000
```

Entry from Alexandria via LeMat-Bulk: a geometry-optimized TbEr4Tl structure (PBE-GGA).

Output
Distance to the lowest polymorph of the same formula in meV per atom: 0
DFT total energy in eV for the cell shown: -25.870
E_form in eV per atom: -0.104

Structure (POSCAR):
```
TbEr4Tl
1.0
-3.237 0.117 1.472
0.139 -3.507 0.586
5.833 2.344 12.637
Tb Er Tl
1 4 1
direct
0.000 0.000 0.000
0.000 0.000 0.350
0.000 0.000 0.650
0.500 0.500 0.824
0.500 0.500 0.176
0.500 0.500 0.500
```